(1)
Density functional theory data (PBE) for a geometry-optimized Y3Zn2Au structure.

Cell: 3.600 3.600 10.678 Å, 90.00 90.00 90.00°
Positions (direct):
Au  0.500  0.500  0.500
Y  0.000  0.000  0.000
Y  0.000  0.000  0.332
Y  0.000  0.000  0.668
Zn  0.500  0.500  0.839
Zn  0.500  0.500  0.161

Computed properties:
DFT total energy: -4.738 eV per atom
offset from the most stable computed form: 0 meV per atom
formation energy from the elements: -535 meV/atom
magnetic moment: 0.0 μB/f.u.
space-group type: No. 123

(2)
Density functional theory data (PBE) for a geometry-optimized YZnAu2 structure.

Cell: 4.669 4.669 9.348 Å, 75.54 75.54 90.00°
Positions (direct):
Au  0.875  0.798  0.750
Au  0.375  0.452  0.750
Au  0.548  0.125  0.250
Au  0.202  0.625  0.250
Zn  0.250  0.750  0.500
Zn  0.500  0.500  0.000
Y  0.000  0.000  0.000
Y  0.750  0.250  0.500

Computed properties:
DFT total energy: -3.856 eV per atom
formation energy from the elements: -283 meV/atom
magnetic moment: 0.0 μB/f.u.
space-group type: No. 122

(3)
Density functional theory data (PBE) for a geometry-optimized Y3Zn2Au4 structure.

Cell: 4.610 5.754 8.303 Å, 74.75 73.88 66.39°
Positions (direct):
Au  0.925  0.752  0.399
Au  0.075  0.248  0.601
Au  0.282  0.368  0.069
Au  0.718  0.632  0.931
Y  0.348  0.620  0.684
Y  0.000  0.000  0.000
Y  0.652  0.380  0.316
Zn  0.643  0.028  0.686
Zn  0.357  0.972  0.314

Computed properties:
DFT total energy: -4.622 eV per atom
offset from the most stable computed form: 8 meV per atom
formation energy from the elements: -728 meV/atom
magnetic moment: 0.0 μB/f.u.
space-group type: No. 12

(4)
Density functional theory data (PBE) for a geometry-optimized Y4ZnAu structure.

Cell: 4.967 4.968 7.053 Å, 90.00 90.00 90.00°
Positions (direct):
Au  0.501  0.497  0.998
Zn  0.001  0.997  0.498
Y  0.501  0.997  0.748
Y  0.501  0.997  0.248
Y  0.001  0.497  0.248
Y  0.001  0.497  0.748

Computed properties:
DFT total energy: -5.299 eV per atom
offset from the most stable computed form: 0 meV per atom
formation energy from the elements: -231 meV/atom
magnetic moment: 0.0 μB/f.u.
space-group type: No. 123